Computed, not measured: a relaxed structure of Zr2ZnFe at the PBE level of DFT.

Summary:
As for the energy relative to the elements: -0.03 eV/f.u. Its space group is I-4m2, No. 119.

Structure (POSCAR):
```
Zr2ZnFe
1.0
-1.983 1.983 4.508
1.983 -1.983 4.508
1.983 1.983 -4.508
Zr Zn Fe
2 1 1
Cartesian
0.000 0.000 0.000
0.000 1.983 2.254
0.000 0.000 4.508
1.983 0.000 2.254
```

Computed, not measured: a relaxed structure of RbMg2Hg10 at the PBE level of DFT.

Summary:
As for the energy relative to the elements: -1.40 eV/f.u. Its space group is Fmmm, No. 69.

Structure (POSCAR):
```
RbMg2Hg10
1.0
0.000 7.034 7.989
3.150 0.000 7.989
3.150 7.034 0.000
Rb Mg Hg
1 2 10
Cartesian
0.000 0.000 0.000
1.575 0.000 3.995
1.575 7.034 3.995
1.575 3.517 0.000
3.150 4.684 2.819
3.150 5.445 6.078
3.150 9.383 2.819
3.150 8.622 6.078
1.575 3.517 7.989
3.150 5.445 9.901
3.150 4.684 13.159
3.150 8.622 9.901
3.150 9.383 13.159
```